(1)
Density functional theory data (GGA-PBEsol) for a relaxed SrPdN2 crystal.

Cell: 6.527 6.527 6.527 Å, 30.14 30.14 30.14°
Positions (direct):
Sr: 0.000 0.000 0.000
Pd: 0.500 0.500 0.500
N: 0.125 0.125 0.125
N: 0.875 0.875 0.875

Properties
Raw total energy, eV/atom: -5.438

(2)
Density functional theory data (GGA-PBEsol) for a relaxed NdGeBO5 crystal.

Cell: 4.953 7.594 10.040 Å, 90.00 91.81 90.00°
Positions (direct):
Nd: 0.006 0.108 0.180
Nd: 0.006 0.392 0.680
Nd: 0.994 0.608 0.320
Nd: 0.994 0.892 0.820
Ge: 0.472 0.733 0.576
Ge: 0.472 0.767 0.076
Ge: 0.528 0.233 0.924
Ge: 0.528 0.267 0.424
B: 0.453 0.097 0.670
B: 0.453 0.403 0.170
B: 0.547 0.597 0.830
B: 0.547 0.903 0.330
O: 0.223 0.586 0.527
O: 0.223 0.914 0.027
O: 0.265 0.605 0.809
O: 0.265 0.895 0.309
O: 0.294 0.160 0.796
O: 0.294 0.340 0.296
O: 0.330 0.580 0.150
O: 0.330 0.920 0.650
O: 0.336 0.215 0.564
O: 0.336 0.285 0.064
O: 0.664 0.715 0.936
O: 0.664 0.785 0.436
O: 0.670 0.080 0.350
O: 0.670 0.420 0.850
O: 0.706 0.660 0.704
O: 0.706 0.840 0.204
O: 0.735 0.105 0.691
O: 0.735 0.395 0.191
O: 0.777 0.086 0.973
O: 0.777 0.414 0.473

Properties
Raw total energy, eV/atom: -8.006

(3)
Density functional theory data (GGA-PBEsol) for a relaxed LiSi2Ag crystal.

Cell: 4.888 4.888 2.728 Å, 90.00 90.00 115.00°
Positions (direct):
Li: 0.000 0.000 0.000
Si: 0.000 0.500 0.500
Si: 0.500 0.000 0.500
Ag: 0.500 0.500 0.000

Properties
Energy relative to the lowest polymorph listed for this composition, eV/atom: 0.000
Raw total energy, eV/atom: -4.173

(4)
Density functional theory data (GGA-PBEsol) for a relaxed Tl2InNi crystal.

Cell: 4.873 4.873 6.736 Å, 110.19 110.19 38.15°
Positions (direct):
Tl: 0.000 0.000 0.000
Tl: 0.178 0.178 0.690
In: 0.823 0.823 0.345
Ni: 0.546 0.546 0.344

Properties
DFT formation energy, meV per atom: 99.2
Raw total energy, eV/atom: -3.501

(5)
Density functional theory data (GGA-PBEsol) for a relaxed Sc2Sb crystal.

Cell: 4.163 4.163 7.756 Å, 90.00 90.00 90.00°
Positions (direct):
Sc: 0.250 0.250 0.155
Sc: 0.250 0.750 0.500
Sc: 0.750 0.250 0.500
Sc: 0.750 0.750 0.845
Sb: 0.250 0.250 0.779
Sb: 0.750 0.750 0.221

Properties
Raw total energy, eV/atom: -6.757

(6)
Density functional theory data (GGA-PBEsol) for a relaxed Dy5Bi3 crystal.

Cell: 11.832 9.383 8.136 Å, 90.00 90.00 90.00°
Positions (direct):
Dy: 0.004 0.250 0.020
Dy: 0.063 0.061 0.690
Dy: 0.063 0.439 0.690
Dy: 0.211 0.750 0.339
Dy: 0.227 0.250 0.328
Dy: 0.273 0.750 0.828
Dy: 0.289 0.250 0.839
Dy: 0.437 0.561 0.190
Dy: 0.437 0.939 0.190
Dy: 0.496 0.750 0.520
Dy: 0.504 0.250 0.480
Dy: 0.563 0.061 0.810
Dy: 0.563 0.439 0.810
Dy: 0.711 0.750 0.161
Dy: 0.727 0.250 0.172
Dy: 0.773 0.750 0.672
Dy: 0.789 0.250 0.661
Dy: 0.937 0.561 0.310
Dy: 0.937 0.939 0.310
Dy: 0.996 0.750 0.980
Bi: 0.029 0.750 0.601
Bi: 0.175 0.507 0.063
Bi: 0.175 0.993 0.063
Bi: 0.325 0.007 0.563
Bi: 0.325 0.493 0.563
Bi: 0.471 0.250 0.101
Bi: 0.529 0.750 0.899
Bi: 0.675 0.507 0.437
Bi: 0.675 0.993 0.437
Bi: 0.825 0.007 0.937
Bi: 0.825 0.493 0.937
Bi: 0.971 0.250 0.399

Properties
DFT formation energy, meV per atom: -731.8
Raw total energy, eV/atom: -5.450

(7)
Density functional theory data (GGA-PBEsol) for a relaxed Ca2Cu2B crystal.

Cell: 8.654 8.654 8.654 Å, 158.01 158.01 31.30°
Positions (direct):
Ca: 0.095 0.095 0.000
Ca: 0.905 0.905 0.000
Cu: 0.250 0.750 0.500
Cu: 0.750 0.250 0.500
B: 0.500 0.500 0.000

Properties
DFT formation energy, meV per atom: 326.7
Raw total energy, eV/atom: -3.663

(8)
Density functional theory data (GGA-PBEsol) for a relaxed ZnFe2P crystal.

Cell: 3.895 3.895 3.895 Å, 60.00 60.00 60.00°
Positions (direct):
Zn: 0.000 0.000 0.000
Fe: 0.250 0.250 0.250
Fe: 0.750 0.750 0.750
P: 0.500 0.500 0.500

Properties
DFT formation energy, meV per atom: -160.5
Raw total energy, eV/atom: -6.486

(9)
Density functional theory data (GGA-PBEsol) for a relaxed NaSrP3O9 crystal.

Cell: 6.833 7.155 7.757 Å, 83.96 80.75 82.85°
Positions (direct):
Na: 0.033 0.131 0.159
Na: 0.967 0.869 0.841
Sr: 0.488 0.770 0.858
Sr: 0.512 0.230 0.142
P: 0.107 0.619 0.221
P: 0.301 0.836 0.443
P: 0.333 0.289 0.774
P: 0.667 0.711 0.226
P: 0.699 0.164 0.557
P: 0.893 0.381 0.779
O: 0.128 0.355 0.702
O: 0.150 0.766 0.071
O: 0.166 0.414 0.198
O: 0.192 0.668 0.391
O: 0.251 0.843 0.637
O: 0.274 0.010 0.321
O: 0.320 0.114 0.900
O: 0.415 0.445 0.845
O: 0.464 0.247 0.588
O: 0.536 0.753 0.412
O: 0.585 0.555 0.155
O: 0.680 0.886 0.100
O: 0.726 0.990 0.679
O: 0.749 0.157 0.363
O: 0.808 0.332 0.609
O: 0.834 0.586 0.802
O: 0.850 0.234 0.929
O: 0.872 0.645 0.298

Properties
Raw total energy, eV/atom: -7.291

(10)
Density functional theory data (GGA-PBEsol) for a relaxed SbPt2Cl crystal.

Cell: 6.413 6.413 6.413 Å, 153.15 141.48 47.57°
Positions (direct):
Sb: 0.000 0.000 0.000
Pt: 0.205 0.705 0.500
Pt: 0.411 0.411 0.000
Cl: 0.711 0.211 0.500

Properties
Energy relative to the lowest polymorph listed for this composition, eV/atom: 0.000
Raw total energy, eV/atom: -5.011

(11)
Density functional theory data (GGA-PBEsol) for a relaxed LiTl2Ag crystal.

Cell: 5.678 5.678 5.678 Å, 140.55 132.17 63.68°
Positions (direct):
Li: 0.000 0.000 0.000
Tl: 0.256 0.756 0.500
Tl: 0.519 0.519 0.000
Ag: 0.775 0.275 0.500

Properties
Energy relative to the lowest polymorph listed for this composition, eV/atom: 0.038
DFT formation energy, meV per atom: -55.2
Raw total energy, eV/atom: -2.690

(12)
Density functional theory data (GGA-PBEsol) for a relaxed SiTe2Cl crystal.

Cell: 3.113 4.594 6.545 Å, 90.00 90.96 90.00°
Positions (direct):
Si: 0.000 0.000 0.000
Te: 0.833 0.000 0.417
Te: 0.840 0.500 0.743
Cl: 0.315 0.500 0.192

Properties
Energy relative to the lowest polymorph listed for this composition, eV/atom: 0.161
Raw total energy, eV/atom: -3.575

(13)
Density functional theory data (GGA-PBEsol) for a relaxed As3Rh crystal.

Cell: 7.326 7.326 7.326 Å, 109.47 109.47 109.47°
Positions (direct):
As: 0.147 0.495 0.348
As: 0.147 0.799 0.652
As: 0.201 0.348 0.853
As: 0.348 0.147 0.495
As: 0.348 0.853 0.201
As: 0.495 0.348 0.147
As: 0.505 0.652 0.853
As: 0.652 0.147 0.799
As: 0.652 0.853 0.505
As: 0.799 0.652 0.147
As: 0.853 0.201 0.348
As: 0.853 0.505 0.652
Rh: 0.000 0.000 0.500
Rh: 0.000 0.500 0.000
Rh: 0.500 0.000 0.000
Rh: 0.500 0.500 0.500

Properties
Energy relative to the lowest polymorph listed for this composition, eV/atom: 0.000
DFT formation energy, meV per atom: -457.8
Raw total energy, eV/atom: -6.322

(14)
Density functional theory data (GGA-PBEsol) for a relaxed SbMoOs2 crystal.

Cell: 2.923 3.855 5.580 Å, 90.00 90.00 90.00°
Positions (direct):
Sb: 0.000 0.000 0.000
Mo: 0.000 0.000 0.500
Os: 0.500 0.500 0.263
Os: 0.500 0.500 0.737

Properties
Raw total energy, eV/atom: -9.772

(15)
Density functional theory data (GGA-PBEsol) for a relaxed BaTaO3 crystal.

Cell: 4.082 4.082 4.082 Å, 90.00 90.00 90.00°
Positions (direct):
Ba: 0.000 0.000 0.000
Ta: 0.500 0.500 0.500
O: 0.000 0.500 0.500
O: 0.500 0.000 0.500
O: 0.500 0.500 0.000

Properties
Raw total energy, eV/atom: -9.013

(16)
Density functional theory data (GGA-PBEsol) for a relaxed LiGe2WS crystal.

Cell: 4.971 4.971 4.386 Å, 90.00 90.00 90.00°
Positions (direct):
Li: 0.000 0.000 0.000
Ge: 0.000 0.500 0.500
Ge: 0.500 0.000 0.500
W: 0.500 0.500 0.000
S: 0.500 0.500 0.500

Properties
Raw total energy, eV/atom: -5.171

(17)
Density functional theory data (GGA-PBEsol) for a relaxed TcSeF2 crystal.

Cell: 5.737 5.737 5.737 Å, 99.51 99.51 132.03°
Positions (direct):
Tc: 0.000 0.000 0.000
Tc: 0.750 0.250 0.500
Se: 0.250 0.750 0.500
Se: 0.500 0.500 0.000
F: 0.375 0.017 0.142
F: 0.767 0.625 0.642
F: 0.875 0.233 0.858
F: 0.983 0.125 0.358

Properties
Raw total energy, eV/atom: -5.478

(18)
Density functional theory data (GGA-PBEsol) for a relaxed Zr4TcPt crystal.

Cell: 5.425 5.425 5.425 Å, 60.00 60.00 60.00°
Positions (direct):
Zr: 0.125 0.125 0.125
Zr: 0.125 0.125 0.626
Zr: 0.125 0.626 0.125
Zr: 0.626 0.125 0.125
Tc: 0.750 0.750 0.750
Pt: 0.500 0.500 0.500

Properties
DFT formation energy, meV per atom: 408.1
Raw total energy, eV/atom: -8.690

(19)
Density functional theory data (GGA-PBEsol) for a relaxed Cd2PW crystal.

Cell: 2.813 2.813 10.463 Å, 90.00 90.00 112.15°
Positions (direct):
Cd: 0.000 0.000 0.000
Cd: 0.500 0.500 0.273
P: 0.500 0.500 0.683
W: 0.000 0.000 0.512

Properties
Energy relative to the lowest polymorph listed for this composition, eV/atom: 0.000
DFT formation energy, meV per atom: 269.5
Raw total energy, eV/atom: -5.229

(20)
Density functional theory data (GGA-PBEsol) for a relaxed BaTi10O20 crystal.

Cell: 8.398 10.265 10.270 Å, 88.31 67.88 67.81°
Positions (direct):
Ba: 0.001 0.295 0.294
Ba: 0.999 0.705 0.706
Ti: 0.176 0.212 0.682
Ti: 0.178 0.810 0.285
Ti: 0.181 0.607 0.084
Ti: 0.186 0.399 0.890
Ti: 0.189 0.001 0.486
Ti: 0.469 0.449 0.270
Ti: 0.473 0.848 0.668
Ti: 0.474 0.048 0.868
Ti: 0.491 0.645 0.459
Ti: 0.492 0.245 0.061
Ti: 0.508 0.755 0.939
Ti: 0.509 0.355 0.541
Ti: 0.526 0.952 0.132
Ti: 0.527 0.152 0.332
Ti: 0.531 0.551 0.730
Ti: 0.811 0.999 0.514
Ti: 0.814 0.601 0.110
Ti: 0.819 0.393 0.916
Ti: 0.822 0.190 0.715
Ti: 0.824 0.788 0.318
O: 0.046 0.011 0.365
O: 0.046 0.207 0.559
O: 0.046 0.608 0.962
O: 0.047 0.413 0.765
O: 0.047 0.804 0.168
O: 0.289 0.398 0.030
O: 0.292 0.797 0.426
O: 0.295 0.003 0.624
O: 0.295 0.602 0.222
O: 0.297 0.199 0.818
O: 0.351 0.520 0.474
O: 0.354 0.316 0.269
O: 0.355 0.118 0.070
O: 0.358 0.715 0.668
O: 0.358 0.915 0.869
O: 0.372 0.445 0.736
O: 0.374 0.042 0.333
O: 0.375 0.240 0.531
O: 0.377 0.840 0.136
O: 0.379 0.636 0.932
O: 0.621 0.364 0.068
O: 0.623 0.160 0.864
O: 0.625 0.760 0.469
O: 0.626 0.958 0.667
O: 0.628 0.555 0.264
O: 0.642 0.085 0.131
O: 0.642 0.285 0.332
O: 0.645 0.882 0.930
O: 0.646 0.684 0.731
O: 0.649 0.480 0.526
O: 0.703 0.801 0.182
O: 0.705 0.398 0.778
O: 0.705 0.997 0.376
O: 0.708 0.203 0.574
O: 0.711 0.602 0.970
O: 0.953 0.196 0.832
O: 0.953 0.587 0.235
O: 0.954 0.392 0.038
O: 0.954 0.793 0.441
O: 0.954 0.989 0.635

Properties
Raw total energy, eV/atom: -9.203